Record 1
## Rb2SeO4 (meta-GGA SCAN)

Data for a PBEsol-optimized structure of Rb2SeO4.

Computed properties:
As for the symmetry: Pnma, No. 62.

Lattice parameters (Å, degrees): 6.1540 7.9650 10.7679 90.00 90.00 90.00
Fractional positions:
Rb (0.2500, 0.5042, 0.7958)
Rb (0.7500, 0.6693, 0.5837)
Rb (0.2500, 0.0042, 0.7042)
Rb (0.7500, 0.9958, 0.2958)
Rb (0.7500, 0.4958, 0.2042)
Rb (0.2500, 0.3307, 0.4163)
Rb (0.2500, 0.8307, 0.0837)
Rb (0.7500, 0.1693, 0.9163)
O (0.2500, 0.1910, 0.9374)
O (0.5285, 0.7943, 0.8452)
O (0.0285, 0.7057, 0.3452)
O (0.5285, 0.2943, 0.6548)
O (0.2500, 0.4815, 0.0752)
O (0.7500, 0.8090, 0.0626)
O (0.7500, 0.5185, 0.9248)
O (0.2500, 0.6910, 0.5626)
O (0.7500, 0.3090, 0.4374)
O (0.2500, 0.9815, 0.4248)
O (0.4715, 0.2057, 0.1548)
O (0.9715, 0.7943, 0.8452)
O (0.4715, 0.7057, 0.3452)
O (0.7500, 0.0185, 0.5752)
O (0.0285, 0.2057, 0.1548)
O (0.9715, 0.2943, 0.6548)
Se (0.2500, 0.2729, 0.0805)
Se (0.7500, 0.2271, 0.5805)
Se (0.2500, 0.7729, 0.4195)
Se (0.7500, 0.7271, 0.9195)

---

Record 2
## RbVSeO5 (meta-GGA SCAN)

Data for a PBEsol-optimized structure of RbVSeO5.

Computed properties:
As for the symmetry: P2_1, No. 4.

Lattice parameters (Å, degrees): 7.5589 7.7495 9.3314 95.10 90.00 90.00
Fractional positions:
Rb (0.0097, 0.0828, 0.1420)
Rb (0.5097, 0.9172, 0.8580)
Rb (0.2358, 0.3952, 0.5946)
Rb (0.7358, 0.6048, 0.4054)
V (0.1740, 0.5733, 0.2409)
V (0.5517, 0.0668, 0.2591)
V (0.6740, 0.4267, 0.7591)
V (0.0517, 0.9332, 0.7409)
O (0.8108, 0.9844, 0.6743)
O (0.6475, 0.9244, 0.1464)
O (0.8716, 0.4101, 0.6799)
O (0.0130, 0.6885, 0.1071)
O (0.5684, 0.5857, 0.6947)
O (0.0823, 0.7707, 0.3635)
O (0.9018, 0.8209, 0.8763)
O (0.5823, 0.2293, 0.6365)
O (0.0684, 0.4143, 0.3053)
O (0.2686, 0.4765, 0.0564)
O (0.3108, 0.0156, 0.3257)
O (0.7687, 0.5235, 0.9436)
O (0.4018, 0.1791, 0.1237)
O (0.1475, 0.0756, 0.8536)
O (0.1837, 0.7627, 0.7093)
O (0.6837, 0.2373, 0.2907)
O (0.1234, 0.0300, 0.5602)
O (0.6234, 0.9700, 0.4398)
O (0.5130, 0.3115, 0.8929)
O (0.3716, 0.5899, 0.3201)
Se (0.9732, 0.6242, 0.9293)
Se (0.2538, 0.8823, 0.4564)
Se (0.7538, 0.1177, 0.5436)
Se (0.4732, 0.3758, 0.0707)

---

Record 3
## RbV3Se2O12 (meta-GGA SCAN)

Data for a PBEsol-optimized structure of RbV3Se2O12.

Computed properties:
As for the symmetry: P6_3, No. 173.

Lattice parameters (Å, degrees): 7.0667 7.0667 11.5177 90.00 90.00 120.00
Fractional positions:
V (0.1244, 0.7913, 0.2914)
V (0.6669, 0.8756, 0.2914)
V (0.7913, 0.6669, 0.7914)
V (0.2087, 0.3331, 0.2914)
V (0.8756, 0.2087, 0.7914)
V (0.3331, 0.1244, 0.7914)
Se (0.3333, 0.6667, 0.5179)
Se (0.0000, 0.0000, 0.0686)
Se (0.0000, 0.0000, 0.5686)
Se (0.6667, 0.3333, 0.0179)
O (0.1260, 0.8756, 0.8224)
O (0.7853, 0.1969, 0.9545)
O (0.8652, 0.1203, 0.6341)
O (0.8740, 0.1244, 0.3224)
O (0.0825, 0.5409, 0.2675)
O (0.2147, 0.8031, 0.4545)
O (0.1348, 0.8797, 0.1341)
O (0.8797, 0.7449, 0.6341)
O (0.7496, 0.8740, 0.8224)
O (0.2551, 0.1348, 0.6341)
O (0.4591, 0.5416, 0.2675)
O (0.8756, 0.7496, 0.3224)
O (0.1969, 0.4116, 0.4545)
O (0.8031, 0.5884, 0.9545)
O (0.9175, 0.4591, 0.7675)
O (0.4584, 0.9175, 0.2675)
O (0.7449, 0.8652, 0.1341)
O (0.4116, 0.2147, 0.9545)
O (0.5409, 0.4584, 0.7675)
O (0.1244, 0.2504, 0.8224)
O (0.5884, 0.7853, 0.4545)
O (0.5416, 0.0825, 0.7675)
O (0.1203, 0.2551, 0.1341)
O (0.2504, 0.1260, 0.3224)
Rb (0.3333, 0.6667, 0.9570)
Rb (0.6667, 0.3333, 0.4570)

---

Record 4
## RbYSe2O6 (meta-GGA SCAN)

Data for a PBEsol-optimized structure of RbYSe2O6.

Computed properties:
As for the symmetry: Pnma, No. 62.

Lattice parameters (Å, degrees): 5.7792 8.8998 13.5392 90.00 90.00 90.00
Fractional positions:
Se (0.7500, 0.7094, 0.5651)
Se (0.7500, 0.7906, 0.0651)
Se (0.2500, 0.9833, 0.2005)
Se (0.7500, 0.0167, 0.7995)
Se (0.7500, 0.4833, 0.2995)
Se (0.2500, 0.5167, 0.7005)
Se (0.2500, 0.2094, 0.9349)
Se (0.2500, 0.2906, 0.4349)
Rb (0.2500, 0.5052, 0.1244)
Rb (0.7500, 0.0052, 0.3756)
Rb (0.2500, 0.9948, 0.6244)
Rb (0.7500, 0.4948, 0.8756)
Y (0.2500, 0.6906, 0.3993)
Y (0.2500, 0.8094, 0.8993)
Y (0.7500, 0.3094, 0.6007)
Y (0.7500, 0.1906, 0.1007)
O (0.2500, 0.0292, 0.9771)
O (0.2500, 0.5868, 0.8194)
O (0.0194, 0.2138, 0.4975)
O (0.9812, 0.8963, 0.7940)
O (0.7500, 0.0868, 0.6806)
O (0.0188, 0.1037, 0.2060)
O (0.7500, 0.9708, 0.0229)
O (0.0188, 0.3963, 0.7060)
O (0.5188, 0.8963, 0.7940)
O (0.7500, 0.4132, 0.1806)
O (0.5194, 0.7862, 0.5025)
O (0.4806, 0.2862, 0.9975)
O (0.5188, 0.6037, 0.2940)
O (0.4806, 0.2138, 0.4975)
O (0.5194, 0.7138, 0.0025)
O (0.9806, 0.7862, 0.5025)
O (0.7500, 0.5292, 0.5229)
O (0.4812, 0.3963, 0.7060)
O (0.4812, 0.1037, 0.2060)
O (0.9806, 0.7138, 0.0025)
O (0.0194, 0.2862, 0.9975)
O (0.2500, 0.9132, 0.3194)
O (0.9812, 0.6037, 0.2940)
O (0.2500, 0.4708, 0.4771)

---

Record 5
## Rb6Si2O7 (meta-GGA SCAN)

Data for a PBEsol-optimized structure of Rb6Si2O7.

Computed properties:
As for the symmetry: P2_1/c, No. 14.

Lattice parameters (Å, degrees): 6.7147 9.1677 9.1964 90.00 91.24 90.00
Fractional positions:
O (0.7880, 0.3431, 0.3730)
O (0.0476, 0.9207, 0.2811)
O (0.5698, 0.7792, 0.5652)
O (0.5000, 0.5000, 0.5000)
O (0.7120, 0.8431, 0.1270)
O (0.4524, 0.4207, 0.2189)
O (0.9524, 0.0793, 0.7189)
O (0.0000, 0.0000, 0.0000)
O (0.2120, 0.6569, 0.6270)
O (0.0698, 0.7208, 0.0652)
O (0.2880, 0.1569, 0.8730)
O (0.9302, 0.2792, 0.9348)
O (0.5476, 0.5793, 0.7811)
O (0.4302, 0.2208, 0.4348)
Rb (0.3864, 0.8524, 0.9100)
Rb (0.8837, 0.7792, 0.7763)
Rb (0.7479, 0.0267, 0.4550)
Rb (0.8864, 0.6476, 0.4100)
Rb (0.1163, 0.2208, 0.2237)
Rb (0.7521, 0.5267, 0.0450)
Rb (0.6163, 0.2792, 0.7237)
Rb (0.2521, 0.9733, 0.5450)
Rb (0.6136, 0.1476, 0.0900)
Rb (0.3837, 0.7208, 0.2763)
Rb (0.1136, 0.3524, 0.5900)
Rb (0.2479, 0.4733, 0.9550)
Si (0.5454, 0.3671, 0.3764)
Si (0.9546, 0.8671, 0.1236)
Si (0.4546, 0.6329, 0.6236)
Si (0.0454, 0.1329, 0.8764)

---

Record 6
## Rb2SrSiO (meta-GGA SCAN)

Data for a PBEsol-optimized structure of Rb2SrSiO.

Computed properties:
As for the symmetry: P4/mmm, No. 123.

Lattice parameters (Å, degrees): 4.0616 5.9396 5.9396 90.00 90.00 90.00
Fractional positions:
Rb (0.0000, 0.5000, 0.0000)
Rb (0.0000, 0.0000, 0.5000)
Sr (0.5000, 0.5000, 0.5000)
O (0.0000, 0.0000, 0.0000)
Si (0.5000, 0.0000, 0.0000)

---

Record 7
## Rb2TiSi6O15 (meta-GGA SCAN)

Data for a PBEsol-optimized structure of Rb2TiSi6O15.

Computed properties:
As for the symmetry: Cc, No. 9.

Lattice parameters (Å, degrees): 7.3714 7.3714 15.2166 77.00 77.00 60.00
Fractional positions:
Ti (0.6948, 0.2172, 0.9042)
Ti (0.2172, 0.6948, 0.4042)
Si (0.9839, 0.9250, 0.0662)
Si (0.9993, 0.3649, 0.7444)
Si (0.3649, 0.9993, 0.2444)
Si (0.6445, 0.8436, 0.0544)
Si (0.4524, 0.5823, 0.0401)
Si (0.0783, 0.9325, 0.7542)
Si (0.9325, 0.0783, 0.2542)
Si (0.9250, 0.9839, 0.5662)
Si (0.3605, 0.4703, 0.7453)
Si (0.8436, 0.6445, 0.5544)
Si (0.4703, 0.3605, 0.2453)
Si (0.5823, 0.4524, 0.5401)
O (0.3860, 0.8215, 0.3305)
O (0.2869, 0.5144, 0.3134)
O (0.4988, 0.8928, 0.1527)
O (0.3009, 0.7094, 0.7599)
O (0.8928, 0.4988, 0.6527)
O (0.7600, 0.8917, 0.5681)
O (0.9657, 0.9156, 0.3464)
O (0.5655, 0.0401, 0.9755)
O (0.4335, 0.4519, 0.1399)
O (0.9645, 0.9417, 0.6718)
O (0.9156, 0.9657, 0.8464)
O (0.9417, 0.9645, 0.1718)
O (0.8215, 0.3860, 0.8305)
O (0.1162, 0.1565, 0.2276)
O (0.7094, 0.3009, 0.2599)
O (0.4632, 0.1354, 0.2673)
O (0.1354, 0.4632, 0.7673)
O (0.2378, 0.8119, 0.0336)
O (0.6483, 0.6378, 0.0275)
O (0.1565, 0.1162, 0.7276)
O (0.4588, 0.4775, 0.4606)
O (0.8685, 0.1408, 0.0002)
O (0.0401, 0.5655, 0.4755)
O (0.6378, 0.6483, 0.5275)
O (0.4775, 0.4588, 0.9606)
O (0.5144, 0.2869, 0.8134)
O (0.4519, 0.4335, 0.6399)
O (0.8917, 0.7600, 0.0681)
O (0.1408, 0.8685, 0.5002)
O (0.8119, 0.2378, 0.5336)
Rb (0.5920, 0.8566, 0.8110)
Rb (0.8566, 0.5920, 0.3110)
Rb (0.1201, 0.3623, 0.9762)
Rb (0.3623, 0.1201, 0.4762)

---

Record 8
## Rb2TiSi3O9 (meta-GGA SCAN)

Data for a PBEsol-optimized structure of Rb2TiSi3O9.

Computed properties:
As for the symmetry: P6_3/m, No. 176.

Lattice parameters (Å, degrees): 6.8949 6.8949 10.0229 90.00 90.00 120.00
Fractional positions:
Si (0.2424, 0.3772, 0.7500)
Si (0.6228, 0.8651, 0.7500)
Si (0.1349, 0.7576, 0.7500)
Si (0.7576, 0.6228, 0.2500)
Si (0.8651, 0.2424, 0.2500)
Si (0.3772, 0.1349, 0.2500)
Rb (0.6667, 0.3333, 0.9427)
Rb (0.3333, 0.6667, 0.4427)
Rb (0.6667, 0.3333, 0.5573)
Rb (0.3333, 0.6667, 0.0573)
Ti (0.0000, 0.0000, 0.0000)
Ti (0.0000, 0.0000, 0.5000)
O (0.2146, 0.2451, 0.6124)
O (0.5890, 0.0825, 0.2500)
O (0.2451, 0.0305, 0.3876)
O (0.2146, 0.2451, 0.8876)
O (0.7549, 0.9695, 0.8876)
O (0.0825, 0.4935, 0.7500)
O (0.0305, 0.7854, 0.8876)
O (0.9695, 0.2146, 0.1124)
O (0.4110, 0.9175, 0.7500)
O (0.5065, 0.5890, 0.7500)
O (0.7549, 0.9695, 0.6124)
O (0.7854, 0.7549, 0.3876)
O (0.4935, 0.4110, 0.2500)
O (0.0305, 0.7854, 0.6124)
O (0.9175, 0.5065, 0.2500)
O (0.7854, 0.7549, 0.1124)
O (0.9695, 0.2146, 0.3876)
O (0.2451, 0.0305, 0.1124)

---

Record 9
## RbSmW2O8 (meta-GGA SCAN)

Data for a PBEsol-optimized structure of RbSmW2O8.

Computed properties:
As for the symmetry: C2/c, No. 15.

Lattice parameters (Å, degrees): 7.5325 7.5413 7.5413 90.57 117.41 62.59
Fractional positions:
O (0.9433, 0.3785, 0.7563)
O (0.4744, 0.5841, 0.6304)
O (0.3101, 0.0492, 0.7918)
O (0.5256, 0.4159, 0.3696)
O (0.1899, 0.7918, 0.0492)
O (0.9744, 0.3696, 0.4159)
O (0.0256, 0.6304, 0.5841)
O (0.4433, 0.2437, 0.6215)
O (0.5567, 0.7563, 0.3785)
O (0.6899, 0.9508, 0.2082)
O (0.8101, 0.2082, 0.9508)
O (0.6320, 0.6135, 0.0692)
O (0.0567, 0.6215, 0.2437)
O (0.8680, 0.0692, 0.6135)
O (0.3680, 0.3865, 0.9308)
O (0.1320, 0.9308, 0.3865)
Rb (0.2500, 0.2007, 0.2007)
Rb (0.7500, 0.7993, 0.7993)
Sm (0.7500, 0.2281, 0.2281)
Sm (0.2500, 0.7719, 0.7719)
W (0.2299, 0.3086, 0.6975)
W (0.2701, 0.6975, 0.3086)
W (0.7299, 0.3025, 0.6914)
W (0.7701, 0.6914, 0.3025)

---

Record 10
## Rb8SnO6 (meta-GGA SCAN)

Data for a PBEsol-optimized structure of Rb8SnO6.

Computed properties:
As for the symmetry: P6_3cm, No. 185.

Lattice parameters (Å, degrees): 7.3356 7.3356 15.4635 90.00 90.00 120.00
Fractional positions:
Rb (0.4011, 0.0000, 0.3799)
Rb (0.7183, 0.7183, 0.7276)
Rb (0.3333, 0.6667, 0.5848)
Rb (0.6667, 0.3333, 0.5848)
Rb (0.6667, 0.3333, 0.0848)
Rb (0.5989, 0.5989, 0.3799)
Rb (0.0000, 0.7183, 0.2276)
Rb (0.0000, 0.5989, 0.8799)
Rb (0.0000, 0.2817, 0.7276)
Rb (0.4011, 0.4011, 0.8799)
Rb (0.2817, 0.0000, 0.7276)
Rb (0.5989, 0.0000, 0.8799)
Rb (0.3333, 0.6667, 0.0848)
Rb (0.0000, 0.4011, 0.3799)
Rb (0.7183, 0.0000, 0.2276)
Rb (0.2817, 0.2817, 0.2276)
O (0.0000, 0.0000, 0.8751)
O (0.0000, 0.7431, 0.0466)
O (0.6667, 0.3333, 0.7708)
O (0.2569, 0.0000, 0.5466)
O (0.3333, 0.6667, 0.7708)
O (0.0000, 0.2569, 0.5466)
O (0.0000, 0.0000, 0.3751)
O (0.7431, 0.0000, 0.0466)
O (0.6667, 0.3333, 0.2708)
O (0.3333, 0.6667, 0.2708)
O (0.2569, 0.2569, 0.0466)
O (0.7431, 0.7431, 0.5466)
Sn (0.0000, 0.0000, 0.5058)
Sn (0.0000, 0.0000, 0.0058)

---

Record 11
## Rb4SnO3 (meta-GGA SCAN)

Data for a PBEsol-optimized structure of Rb4SnO3.

Computed properties:
As for the symmetry: Pbca, No. 61.

Lattice parameters (Å, degrees): 6.6865 11.7168 19.7278 90.00 90.00 90.00
Fractional positions:
O (0.8691, 0.9799, 0.0996)
O (0.1309, 0.4799, 0.4004)
O (0.9559, 0.6427, 0.9319)
O (0.4559, 0.8574, 0.0681)
O (0.4650, 0.0906, 0.1554)
O (0.0350, 0.9094, 0.6554)
O (0.8691, 0.5201, 0.5996)
O (0.0350, 0.5906, 0.1554)
O (0.3691, 0.9799, 0.4004)
O (0.5350, 0.5906, 0.3446)
O (0.5441, 0.3574, 0.4319)
O (0.1309, 0.0201, 0.9004)
O (0.6309, 0.4799, 0.0996)
O (0.6309, 0.0201, 0.5996)
O (0.0441, 0.3574, 0.0681)
O (0.5350, 0.9094, 0.8446)
O (0.0441, 0.1426, 0.5681)
O (0.3691, 0.5201, 0.9004)
O (0.4559, 0.6427, 0.5681)
O (0.9650, 0.4094, 0.8446)
O (0.9559, 0.8574, 0.4319)
O (0.4650, 0.4094, 0.6554)
O (0.9650, 0.0906, 0.3446)
O (0.5441, 0.1426, 0.9319)
Sn (0.6070, 0.5661, 0.6473)
Sn (0.6070, 0.9339, 0.1473)
Sn (0.3930, 0.4339, 0.3527)
Sn (0.8930, 0.0661, 0.6473)
Sn (0.8930, 0.4339, 0.1473)
Sn (0.1070, 0.9339, 0.3527)
Sn (0.1070, 0.5661, 0.8527)
Sn (0.3930, 0.0661, 0.8527)
Rb (0.4643, 0.6109, 0.2049)
Rb (0.7412, 0.4432, 0.9631)
Rb (0.7719, 0.8104, 0.5563)
Rb (0.1240, 0.8243, 0.1577)
Rb (0.7588, 0.5568, 0.4631)
Rb (0.3760, 0.1757, 0.6577)
Rb (0.6240, 0.6757, 0.8423)
Rb (0.7412, 0.0568, 0.4631)
Rb (0.2412, 0.4432, 0.5369)
Rb (0.2281, 0.3104, 0.9437)
Rb (0.4643, 0.8891, 0.7049)
Rb (0.0357, 0.1109, 0.2049)
Rb (0.7588, 0.9432, 0.9631)
Rb (0.2588, 0.9432, 0.5369)
Rb (0.2719, 0.6896, 0.4437)
Rb (0.2281, 0.1896, 0.4437)
Rb (0.1240, 0.6757, 0.6577)
Rb (0.5357, 0.3891, 0.7951)
Rb (0.9643, 0.8891, 0.7951)
Rb (0.7281, 0.1896, 0.0563)
Rb (0.8760, 0.3243, 0.3423)
Rb (0.9643, 0.6109, 0.2951)
Rb (0.2412, 0.0568, 0.0369)
Rb (0.5357, 0.1109, 0.2951)
Rb (0.7281, 0.3104, 0.5563)
Rb (0.7719, 0.6896, 0.0563)
Rb (0.6240, 0.8243, 0.3423)
Rb (0.0357, 0.3891, 0.7049)
Rb (0.2588, 0.5568, 0.0369)
Rb (0.3760, 0.3243, 0.1577)
Rb (0.2719, 0.8104, 0.9437)
Rb (0.8760, 0.1757, 0.8423)

---

no.,formation energy from raw total energies (meV/atom)
1,-1575
2,-1916
3,-1981
4,-1993
5,-2345
6,-100
7,-3013
8,-2989
9,-2730
10,-1389
11,-1426